No. 1
VASP calculation (PBE) on crystalline MnFeSe2 at its relaxed geometry.

Summary:
For the total energy, the calculation gives -6.1738 eV per atom. As for the crystal system: monoclinic. Its density of states at the Fermi level is 3.988 states/eV/f.u. The value obtained for the offset from the most stable computed form is 267 meV per atom. For the uncorrected formation energy, the calculation gives -0.023 eV/atom. The calculation puts the size of the total moment at 5.72 μB/cell.

abc: 5.129 3.239 6.014
angles: 90.00 90.70 90.00
Space group P2/m (No. 10)
Unique sites:
Mn 0.000 0.000 0.000 x1
Fe 0.500 0.000 0.000 x1
Se 0.260 0.500 0.777 x2

***

No. 2
VASP calculation (PBE) on crystalline Mn2FeSe at its relaxed geometry.

Summary:
For the total energy, the calculation gives -7.3258 eV per atom. As for the crystal system: monoclinic. Its density of states at the Fermi level is 3.872 states/eV/f.u. For the uncorrected formation energy, the calculation gives 0.246 eV/atom. The calculation puts the size of the total moment at 6.05 μB/cell.

abc: 3.963 3.216 3.995
angles: 90.00 99.44 90.00
Space group P2/m (No. 10)
Unique sites:
Mn 0.000 0.000 0.000 x1
Mn 0.000 0.500 0.500 x1
Fe 0.500 0.000 0.500 x1
Se 0.500 0.500 0.000 x1

***

No. 3
VASP calculation (PBE) on crystalline MnFeSe at its relaxed geometry.

Summary:
For the total energy, the calculation gives -6.8883 eV per atom. As for the crystal system: tetragonal. Its density of states at the Fermi level is 1.979 states/eV/f.u. The value obtained for the offset from the most stable computed form is 148 meV per atom. For the uncorrected formation energy, the calculation gives 0.151 eV/atom. The calculation puts the size of the total moment at 12.54 μB/cell.

abc: 3.289 3.289 7.956
angles: 90.00 90.00 90.00
Space group I4mm (No. 107)
Unique sites:
Mn 0.000 0.000 0.000 x2
Fe 0.000 0.000 0.334 x2
Se 0.000 0.000 0.672 x2

***

No. 4
VASP calculation (PBE) on crystalline Mn2FeSe at its relaxed geometry.

Summary:
For the total energy, the calculation gives -7.3657 eV per atom. As for the crystal system: tetragonal. Its density of states at the Fermi level is 3.106 states/eV/f.u. For the uncorrected formation energy, the calculation gives 0.206 eV/atom. The calculation puts the size of the total moment at 8.00 μB/cell.

abc: 3.208 3.208 5.238
angles: 90.00 90.00 90.00
Space group P4mm (No. 99)
Unique sites:
Mn 0.000 0.000 0.000 x1
Mn 0.500 0.500 0.261 x1
Fe 0.500 0.500 0.771 x1
Se 0.000 0.000 0.501 x1

***

No. 5
VASP calculation (PBE) on crystalline MnFeSe at its relaxed geometry.

Summary:
For the total energy, the calculation gives -7.0364 eV per atom. As for the crystal system: cubic. Its density of states at the Fermi level is 1.523 states/eV/f.u. The value obtained for the offset from the most stable computed form is 0 meV per atom. For the uncorrected formation energy, the calculation gives 0.002 eV/atom. The calculation puts the size of the total moment at 11.99 μB/cell.

abc: 5.579 5.579 5.579
angles: 90.00 90.00 90.00
Space group F-43m (No. 216)
Unique sites:
Mn 0.000 0.000 0.000 x4
Fe 0.250 0.250 0.250 x4
Se 0.000 0.000 0.500 x4

***

No. 6
VASP calculation (PBE) on crystalline MnFeSe2 at its relaxed geometry.

Summary:
For the total energy, the calculation gives -6.3512 eV per atom. As for the crystal system: tetragonal. Its density of states at the Fermi level is 2.113 states/eV/f.u. The value obtained for the offset from the most stable computed form is 90 meV per atom. For the uncorrected formation energy, the calculation gives -0.201 eV/atom. The calculation puts the size of the total moment at 5.06 μB/cell.

abc: 3.237 3.237 6.832
angles: 90.00 90.00 90.00
Space group P4mm (No. 99)
Unique sites:
Mn 0.000 0.000 0.000 x1
Fe 0.500 0.500 0.788 x1
Se 0.000 0.000 0.632 x1
Se 0.500 0.500 0.153 x1

***

No. 7
VASP calculation (PBE) on crystalline MnFeSe at its relaxed geometry.

Summary:
For the total energy, the calculation gives -6.9041 eV per atom. As for the crystal system: trigonal. Its density of states at the Fermi level is 2.171 states/eV/f.u. The value obtained for the offset from the most stable computed form is 132 meV per atom. For the uncorrected formation energy, the calculation gives 0.135 eV/atom. The calculation puts the size of the total moment at 2.53 μB/cell.

abc: 3.9110 3.9110 3.2785
angles: 90.00 90.00 120.00
Space group P3m1 (No. 156)
Unique sites:
Mn 0.0000 0.0000 0.0000 x1
Fe 0.6667 0.3333 0.5232 x1
Se 0.3333 0.6667 0.4728 x1

***

No. 8
VASP calculation (PBE) on crystalline Mn2FeSe at its relaxed geometry.

Summary:
For the total energy, the calculation gives -7.4443 eV per atom. As for the crystal system: tetragonal. Its density of states at the Fermi level is 2.064 states/eV/f.u. For the uncorrected formation energy, the calculation gives 0.127 eV/atom. The calculation puts the size of the total moment at 8.22 μB/cell.

abc: 3.191 3.191 5.308
angles: 90.00 90.00 90.00
Space group P4/mmm (No. 123)
Unique sites:
Mn 0.000 0.000 0.244 x2
Fe 0.500 0.500 0.000 x1
Se 0.500 0.500 0.500 x1

***

No. 9
VASP calculation (PBE) on crystalline MnFeSe2 at its relaxed geometry.

Summary:
For the total energy, the calculation gives -6.0479 eV per atom. As for the crystal system: tetragonal. Its density of states at the Fermi level is 2.974 states/eV/f.u. The value obtained for the offset from the most stable computed form is 393 meV per atom. For the uncorrected formation energy, the calculation gives 0.102 eV/atom. The calculation puts the size of the total moment at 0.00 μB/cell.

abc: 5.286 5.286 10.532
angles: 90.00 90.00 90.00
Space group I-42d (No. 122)
Unique sites:
Mn 0.000 0.000 0.000 x4
Fe 0.000 0.000 0.500 x4
Se 0.248 0.250 0.625 x8

***

No. 10
VASP calculation (PBE) on crystalline MnFeSe3 at its relaxed geometry.

Summary:
For the total energy, the calculation gives -4.6456 eV per atom. As for the crystal system: cubic. Its density of states at the Fermi level is 8.899 states/eV/f.u. The value obtained for the offset from the most stable computed form is 0 meV per atom. For the uncorrected formation energy, the calculation gives 0.972 eV/atom. The calculation puts the size of the total moment at 0.16 μB/cell.

abc: 4.617 4.617 4.617
angles: 90.00 90.00 90.00
Space group Pm-3m (No. 221)
Unique sites:
Mn 0.000 0.000 0.000 x1
Fe 0.500 0.500 0.500 x1
Se 0.000 0.500 0.500 x3

***

No. 11
VASP calculation (PBE) on crystalline MnFeSe2 at its relaxed geometry.

Summary:
For the total energy, the calculation gives -6.4411 eV per atom. As for the crystal system: monoclinic. Its density of states at the Fermi level is 3.098 states/eV/f.u. The value obtained for the offset from the most stable computed form is 0 meV per atom. For the uncorrected formation energy, the calculation gives -0.291 eV/atom. The calculation puts the size of the total moment at 3.49 μB/cell.

abc: 3.561 3.577 6.078
angles: 90.00 90.21 90.00
Space group Pm (No. 6)
Unique sites:
Mn 0.000 0.000 0.000 x1
Fe 0.500 0.500 0.999 x1
Se 0.002 0.500 0.262 x1
Se 0.498 0.000 0.737 x1

***

No. 12
VASP calculation (PBE) on crystalline MnFe2Se2 at its relaxed geometry.

Summary:
For the total energy, the calculation gives -6.0765 eV per atom. As for the crystal system: tetragonal. Its density of states at the Fermi level is 12.237 states/eV/f.u. The value obtained for the offset from the most stable computed form is 262 meV per atom. For the uncorrected formation energy, the calculation gives 0.536 eV/atom. The calculation puts the size of the total moment at 0.14 μB/cell.

abc: 6.508 6.508 3.152
angles: 90.00 90.00 90.00
Space group P4/mbm (No. 127)
Unique sites:
Mn 0.000 0.000 0.000 x2
Fe 0.131 0.369 0.000 x4
Se 0.173 0.673 0.500 x4

***

No. 13
VASP calculation (PBE) on crystalline Mn2FeSe at its relaxed geometry.

Summary:
For the total energy, the calculation gives -7.3424 eV per atom. As for the crystal system: tetragonal. Its density of states at the Fermi level is 2.746 states/eV/f.u. For the uncorrected formation energy, the calculation gives 0.229 eV/atom. The calculation puts the size of the total moment at 3.77 μB/cell.

abc: 3.578 3.578 3.896
angles: 90.00 90.00 90.00
Space group P4/mmm (No. 123)
Unique sites:
Mn 0.000 0.500 0.000 x2
Fe 0.000 0.000 0.500 x1
Se 0.500 0.500 0.500 x1

***

No. 14
VASP calculation (PBE) on crystalline MnFe4Se at its relaxed geometry.

Summary:
For the total energy, the calculation gives -7.3985 eV per atom. As for the crystal system: cubic. Its density of states at the Fermi level is 7.585 states/eV/f.u. For the uncorrected formation energy, the calculation gives 0.352 eV/atom. The calculation puts the size of the total moment at 48.75 μB/cell.

abc: 6.801 6.801 6.801
angles: 90.00 90.00 90.00
Space group F-43m (No. 216)
Unique sites:
Mn 0.000 0.000 0.000 x4
Fe 0.125 0.125 0.375 x16
Se 0.250 0.250 0.750 x4

***

No. 15
VASP calculation (PBE) on crystalline Mn2FeSe at its relaxed geometry.

Summary:
For the total energy, the calculation gives -7.3509 eV per atom. As for the crystal system: orthorhombic. Its density of states at the Fermi level is 4.260 states/eV/f.u. For the uncorrected formation energy, the calculation gives 0.221 eV/atom. The calculation puts the size of the total moment at 13.62 μB/cell.

abc: 5.117 6.613 3.059
angles: 90.00 90.00 90.00
Space group Cmmm (No. 65)
Unique sites:
Mn 0.250 0.250 0.000 x4
Fe 0.000 0.000 0.500 x2
Se 0.000 0.500 0.500 x2

***

No. 16
VASP calculation (PBE) on crystalline Mn2FeSe at its relaxed geometry.

Summary:
For the total energy, the calculation gives -7.2541 eV per atom. As for the crystal system: monoclinic. Its density of states at the Fermi level is 4.431 states/eV/f.u. For the uncorrected formation energy, the calculation gives 0.317 eV/atom. The calculation puts the size of the total moment at 7.77 μB/cell.

abc: 2.837 4.138 4.653
angles: 90.00 92.13 90.00
Space group P2/m (No. 10)
Unique sites:
Mn 0.201 0.000 0.238 x2
Fe 0.500 0.500 0.000 x1
Se 0.000 0.500 0.500 x1

***

No. 17
VASP calculation (PBE) on crystalline MnFeSe2 at its relaxed geometry.

Summary:
For the total energy, the calculation gives -6.2751 eV per atom. As for the crystal system: monoclinic. Its density of states at the Fermi level is 4.190 states/eV/f.u. The value obtained for the offset from the most stable computed form is 166 meV per atom. For the uncorrected formation energy, the calculation gives -0.125 eV/atom. The calculation puts the size of the total moment at 16.02 μB/cell.

abc: 6.456 3.738 6.460
angles: 90.00 109.40 90.00
Space group C2/m (No. 12)
Unique sites:
Mn 0.000 0.000 0.000 x2
Fe 0.000 0.500 0.500 x2
Se 0.247 0.000 0.743 x4

***

No. 18
VASP calculation (PBE) on crystalline Mn2FeSe at its relaxed geometry.

Summary:
For the total energy, the calculation gives -7.1678 eV per atom. As for the crystal system: trigonal. Its density of states at the Fermi level is 4.371 states/eV/f.u. For the uncorrected formation energy, the calculation gives 0.404 eV/atom. The calculation puts the size of the total moment at 0.60 μB/cell.

abc: 2.7399 2.7399 23.2267
angles: 90.00 90.00 120.00
Space group R-3m (No. 166, hexagonal axes)
Unique sites:
Mn 0.0000 0.0000 0.2493 x6
Fe 0.0000 0.0000 0.0000 x3
Se 0.0000 0.0000 0.5000 x3

***

No. 19
VASP calculation (PBE) on crystalline MnFeSe2 at its relaxed geometry.

Summary:
For the total energy, the calculation gives -6.0094 eV per atom. As for the crystal system: tetragonal. Its density of states at the Fermi level is 3.533 states/eV/f.u. The value obtained for the offset from the most stable computed form is 432 meV per atom. For the uncorrected formation energy, the calculation gives 0.141 eV/atom. The calculation puts the size of the total moment at 15.99 μB/cell.

abc: 3.548 3.548 14.345
angles: 90.00 90.00 90.00
Space group I-4m2 (No. 119)
Unique sites:
Mn 0.000 0.000 0.000 x2
Fe 0.000 0.500 0.250 x2
Se 0.000 0.000 0.500 x2
Se 0.000 0.500 0.750 x2

***

No. 20
VASP calculation (PBE) on crystalline MnFeSe2 at its relaxed geometry.

Summary:
For the total energy, the calculation gives -6.2768 eV per atom. As for the crystal system: monoclinic. Its density of states at the Fermi level is 4.896 states/eV/f.u. The value obtained for the offset from the most stable computed form is 164 meV per atom. For the uncorrected formation energy, the calculation gives -0.127 eV/atom. The calculation puts the size of the total moment at 6.13 μB/cell.

abc: 4.028 4.573 4.119
angles: 90.00 105.13 90.00
Space group Pm (No. 6)
Unique sites:
Mn 0.000 0.000 0.000 x1
Fe 0.762 0.500 0.232 x1
Se 0.145 0.500 0.845 x1
Se 0.618 0.000 0.385 x1